MoPtAu2Br: relaxed, GGA-PBE.

The space group is P4/mmm (No. 123) and the conventional cell measures 5.107, 5.107 and 4.862 Å, with angles of 90.00, 90.00 and 90.00 degrees. Symmetry generates all atoms from Mo at (0.000, 0.000, 0.000), Pt at (0.000, 0.000, 0.500), Au at (0.000, 0.500, 0.000) and Br at (0.500, 0.500, 0.500).

As for the density of states at the Fermi level: 5.713 states/eV per cell.

***

ScMo2AuBr: relaxed, GGA-PBE.

The space group is P4/mmm (No. 123) and the conventional cell measures 4.616, 4.616 and 4.856 Å, with angles of 90.00, 90.00 and 90.00 degrees. Symmetry generates all atoms from Sc at (0.000, 0.000, 0.000), Mo at (0.000, 0.500, 0.500), Au at (0.500, 0.500, 0.000) and Br at (0.000, 0.000, 0.500).

As for the density of states at the Fermi level: 6.657 states/eV per cell.

***

The evaluated formation energy from raw total energies for the records listed, in turn: 1.199; 1.023 eV/atom.
The evaluated density for the records listed, in turn: 10.02; 8.24 g/cm³.
The evaluated DFT total energy for the records listed, in turn: -3.82; -5.57 eV per atom.